[1]
Here is a relaxed structure of Ac6Ge2PN from Alexandria. Energies are from PBE-GGA.

Structure (POSCAR):
```
Ac6Ge2PN
1.0
-2.276 1.649 6.460
-4.748 -6.827 0.069
8.181 -5.647 4.286
Ac Ge P N
12 4 2 2
direct
0.326 0.674 0.062
0.826 0.826 0.562
0.674 0.326 0.938
0.174 0.174 0.438
0.350 0.708 0.442
0.850 0.792 0.942
0.650 0.292 0.558
0.150 0.208 0.058
0.868 0.539 0.236
0.368 0.961 0.736
0.132 0.461 0.764
0.632 0.039 0.264
0.064 0.888 0.245
0.564 0.612 0.745
0.936 0.112 0.755
0.436 0.388 0.255
0.500 0.000 0.000
0.000 0.500 0.500
0.500 0.000 0.500
0.000 0.500 0.000
```

Summary:
Total energy in eV per atom: -5.554
Density in kg/m3: 8129
Fermi-level density of states in states/eV/atom: 0.88
ΔE_f (raw) in eV/f.u.: -7.92

---

[2]
Here is a relaxed structure of K2MnSe2 from Alexandria. Energies are from PBE-GGA.

Structure (POSCAR):
```
K2MnSe2
1.0
8.235 0.001 0.002
2.526 7.838 -0.002
-5.140 -4.250 4.831
K Mn Se
4 2 4
direct
0.479 0.145 0.334
0.521 0.855 0.666
0.188 0.355 0.834
0.812 0.645 0.166
0.000 0.250 0.250
0.000 0.750 0.750
0.091 0.895 0.196
0.909 0.105 0.804
0.300 0.605 0.696
0.700 0.395 0.304
```

Summary:
Total energy in eV per atom: -4.612
Density in kg/m3: 3100
ΔE_f (raw) in eV/f.u.: -4.73